AlInAsSe2: optimized geometry, PBEsol. Values from VASP.

Geometry as Quantum ESPRESSO input:
```
&SYSTEM
  ibrav = 0, nat = 5, ntyp = 4
/
ATOMIC_SPECIES
In 114.82 In.upf
Se 78.96 Se.upf
Al 26.98 Al.upf
As 74.92 As.upf
ATOMIC_POSITIONS crystal
In 0.000 0.000 0.000
Se 0.000 0.000 0.500
Se 0.000 0.500 0.000
Al 0.500 0.500 0.500
As 0.500 0.000 0.000
CELL_PARAMETERS angstrom
5.156 0.000 0.000
0.000 5.220 0.000
0.000 0.000 5.220
```

Properties
magnetization	0.4	μB/cell
SG	P4/mmm, No. 123
raw formation energy	624	meV per atom
uncorrected energy	-3.35	eV/atom

SiOs2Pb: optimized geometry, PBEsol. Values from VASP.

Geometry as Quantum ESPRESSO input:
```
&SYSTEM
  ibrav = 0, nat = 4, ntyp = 3
/
ATOMIC_SPECIES
Pb 207.20 Pb.upf
Si 28.09 Si.upf
Os 190.23 Os.upf
ATOMIC_POSITIONS crystal
Pb 0.584 0.000 0.519
Si 0.081 0.500 0.788
Os 0.147 0.000 0.008
Os 0.688 0.500 0.185
CELL_PARAMETERS angstrom
-0.652 2.176 -1.965
-4.213 0.252 1.677
1.598 2.835 3.590
```

Properties
magnetization	0.0	μB/cell
SG	Pm, No. 6
raw formation energy	557	meV per atom
uncorrected energy	-7.99	eV/atom

ReTcCl2: optimized geometry, PBEsol. Values from VASP.

Geometry as Quantum ESPRESSO input:
```
&SYSTEM
  ibrav = 0, nat = 4, ntyp = 3
/
ATOMIC_SPECIES
Tc 98.00 Tc.upf
Cl 35.45 Cl.upf
Re 186.21 Re.upf
ATOMIC_POSITIONS crystal
Tc 0.000 0.500 0.000
Cl 0.848 0.848 0.697
Cl 0.152 0.152 0.303
Re 0.500 0.000 0.000
CELL_PARAMETERS angstrom
-2.105 -1.927 0.034
2.117 -2.367 -3.078
3.033 -1.091 6.102
```

Properties
magnetization	0.3	μB/cell
SG	Immm, No. 71
raw formation energy	608	meV per atom
uncorrected energy	-6.55	eV/atom
distance to the lowest polymorph of the same formula	0.786	eV per atom

ZrFeOs2: optimized geometry, PBEsol. Values from VASP.

Geometry as Quantum ESPRESSO input:
```
&SYSTEM
  ibrav = 0, nat = 4, ntyp = 3
/
ATOMIC_SPECIES
Os 190.23 Os.upf
Fe 55.84 Fe.upf
Zr 91.22 Zr.upf
ATOMIC_POSITIONS crystal
Os 0.260 0.260 0.221
Os 0.740 0.740 0.779
Fe 0.000 0.000 0.000
Zr 0.500 0.500 0.500
CELL_PARAMETERS angstrom
-1.910 0.175 1.946
-2.426 -1.205 -0.355
1.752 -7.907 4.347
```

Properties
formation energy	0.24	eV per atom
magnetization	1.6	μB/cell
SG	R-3m, No. 166
uncorrected energy	-10.38	eV/atom
distance to the lowest polymorph of the same formula	0.180	eV per atom